Entry 1:
AcCd5Hg7 after structural relaxation, computed with PBE.

Formation energy (eV per formula unit): -1.53
Final energy (eV per atom): -0.948

a = 6.3142 Å, b = 10.2480 Å, c = 10.0133 Å
α = 90.00°, β = 90.00°, γ = 90.00°
Space group Imm2 (No. 44)
Inequivalent atoms, fractional coordinates:
1 Ac 0.0000 0.0000 0.0000 x2
2 Cd 0.0000 0.5000 0.2660 x2
3 Cd 0.2482 0.2507 0.7483 x8
4 Hg 0.0000 0.0000 0.3529 x2
5 Hg 0.0000 0.0000 0.6520 x2
6 Hg 0.0000 0.3027 0.4950 x4
7 Hg 0.0000 0.3446 0.0003 x4
8 Hg 0.0000 0.5000 0.7246 x2

=====

Entry 2:
PrZn4Ag after structural relaxation, computed with PBE.

Formation energy (eV per formula unit): -0.95
Final energy (eV per atom): -2.279

a = 7.6556 Å, b = 7.6556 Å, c = 7.6556 Å
α = 90.00°, β = 90.00°, γ = 90.00°
Space group F-43m (No. 216)
Inequivalent atoms, fractional coordinates:
1 Pr 0.0000 0.0000 0.0000 x4
2 Zn 0.1249 0.1249 0.3751 x16
3 Ag 0.2500 0.2500 0.7500 x4

=====

Entry 3:
Pm3Pr4Sn5 after structural relaxation, computed with PBE.

Formation energy (eV per formula unit): -5.91
Final energy (eV per atom): -4.941

a = 15.8719 Å, b = 5.9051 Å, c = 9.4186 Å
α = 90.00°, β = 119.76°, γ = 90.00°
Space group C2/m (No. 12)
Inequivalent atoms, fractional coordinates:
1 Pm 0.0000 0.0000 0.0000 x2
2 Pm 0.2350 0.5000 0.2971 x4
3 Pr 0.0685 0.5000 0.3998 x4
4 Pr 0.1768 0.5000 0.8784 x4
5 Sn 0.0000 0.5000 0.0000 x2
6 Sn 0.0747 0.0000 0.7275 x4
7 Sn 0.1932 0.0000 0.3292 x4

=====

Entry 4:
TlCdPd after structural relaxation, computed with PBE.

Formation energy (eV per formula unit): -0.39
Final energy (eV per atom): -2.955

a = 6.5370 Å, b = 6.5370 Å, c = 6.5370 Å
α = 90.00°, β = 90.00°, γ = 90.00°
Space group F-43m (No. 216)
Inequivalent atoms, fractional coordinates:
1 Tl 0.0000 0.0000 0.0000 x4
2 Cd 0.0000 0.0000 0.5000 x4
3 Pd 0.2500 0.2500 0.7500 x4

=====

Entry 5:
Nd6In6Sn after structural relaxation, computed with PBE.

Formation energy (eV per formula unit): -4.64
Final energy (eV per atom): -4.129

a = 6.5037 Å, b = 6.5037 Å, c = 10.8662 Å
α = 90.00°, β = 90.00°, γ = 120.00°
Space group P6/mmm (No. 191)
Inequivalent atoms, fractional coordinates:
1 Nd 0.0000 0.0000 0.2039 x2
2 Nd 0.3333 0.6667 0.0000 x2
3 Nd 0.3333 0.6667 0.5000 x2
4 In 0.0000 0.5000 0.2470 x6
5 Sn 0.0000 0.0000 0.5000 x1

=====

Entry 6:
MgNbAg after structural relaxation, computed with PBE.

Formation energy (eV per formula unit): 0.44
Final energy (eV per atom): -4.692

a = 3.0525 Å, b = 3.9145 Å, c = 9.5712 Å
α = 90.00°, β = 90.00°, γ = 90.00°
Space group Pmm2 (No. 25)
Inequivalent atoms, fractional coordinates:
1 Mg 0.0000 0.0000 0.0000 x1
2 Mg 0.5000 0.5000 0.1884 x1
3 Nb 0.0000 0.0000 0.3676 x1
4 Nb 0.5000 0.5000 0.5171 x1
5 Ag 0.0000 0.0000 0.6896 x1
6 Ag 0.5000 0.5000 0.8493 x1